Compound: YTm3Tl
Source: Alexandria via LeMat-Bulk
Functional: PBE-GGA
Structure: optimized geometry

Cell lengths 14.459, 13.015, 6.495 Å; angles 90.00, 103.89, 90.00 degrees
Space group C2/c (No. 15)
Symmetry-distinct sites (fractional):
Y: 0.105 0.068 0.461 x8
Tm: 0.099 0.189 0.972 x8
Tm: 0.190 0.314 0.641 x8
Tm: 0.197 0.425 0.142 x8
Tl: 0.000 0.327 0.250 x4
Tl: 0.000 0.419 0.750 x4

- formation energy from the elements (eV per atom) = -0.04
- density of states at the Fermi level (states/eV/cell) = 52.8
- ΔE to the lowest computed polymorph (meV/atom) = 20
- E (hartree per atom) = -0.1649

***

Compound: NaWSCl2
Source: Alexandria via LeMat-Bulk
Functional: PBE-GGA
Structure: optimized geometry

Cell lengths 4.700, 4.700, 5.200 Å; angles 90.00, 90.00, 90.00 degrees
Space group P4/mmm (No. 123)
Symmetry-distinct sites (fractional):
Na: 0.000 0.000 0.000 x1
W: 0.500 0.500 0.500 x1
S: 0.000 0.000 0.500 x1
Cl: 0.000 0.500 0.000 x2

- density of states at the Fermi level (states/eV/cell) = 7.0
- ΔE to the lowest computed polymorph (meV/atom) = 1382
- E (hartree per atom) = -0.1299

***

Compound: PmThPdPt
Source: Alexandria via LeMat-Bulk
Functional: PBE-GGA
Structure: optimized geometry

Cell lengths 4.479, 3.862, 11.273 Å; angles 90.00, 90.00, 90.00 degrees
Space group Amm2 (No. 38)
Symmetry-distinct sites (fractional):
Pm: 0.000 0.000 0.000 x2
Th: 0.500 0.000 0.273 x2
Pd: 0.500 0.000 0.550 x2
Pt: 0.000 0.000 0.734 x2

- formation energy from the elements (eV per atom) = -1.03
- density of states at the Fermi level (states/eV/cell) = 6.1
- ΔE to the lowest computed polymorph (meV/atom) = 0
- E (hartree per atom) = -0.2528

***

Compound: AlN
Source: Alexandria via LeMat-Bulk
Functional: PBE-GGA
Structure: optimized geometry

Cell lengths 2.8542, 2.8542, 4.8800 Å; angles 90.00, 90.00, 120.00 degrees
Space group P6_3/mmc (No. 194)
Symmetry-distinct sites (fractional):
Al: 0.0000 0.0000 0.0000 x2
N: 0.3333 0.6667 0.2500 x2

- density of states at the Fermi level (states/eV/cell) = 0.0
- E (hartree per atom) = -0.2614

***

Compound: CaPuGaAg
Source: Alexandria via LeMat-Bulk
Functional: PBE-GGA
Structure: optimized geometry

Cell lengths 7.330, 7.330, 7.330 Å; angles 90.00, 90.00, 90.00 degrees
Space group F-43m (No. 216)
Symmetry-distinct sites (fractional):
Ca: 0.000 0.000 0.000 x4
Pu: 0.000 0.000 0.500 x4
Ga: 0.250 0.250 0.250 x4
Ag: 0.250 0.250 0.750 x4

- formation energy from the elements (eV per atom) = -0.17
- density of states at the Fermi level (states/eV/cell) = 48.4
- E (hartree per atom) = -0.2102

***

Compound: La4GePb2
Source: Alexandria via LeMat-Bulk
Functional: PBE-GGA
Structure: optimized geometry

Cell lengths 5.584, 11.223, 7.534 Å; angles 90.00, 90.00, 90.00 degrees
Space group Amm2 (No. 38)
Symmetry-distinct sites (fractional):
La: 0.000 0.000 0.000 x2
La: 0.000 0.000 0.435 x2
La: 0.500 0.249 0.969 x4
Ge: 0.500 0.000 0.218 x2
Pb: 0.000 0.226 0.718 x4

- formation energy from the elements (eV per atom) = -0.53
- density of states at the Fermi level (states/eV/cell) = 9.0
- ΔE to the lowest computed polymorph (meV/atom) = 0
- E (hartree per atom) = -0.1862

***

Compound: La2Ce2ZnGe4
Source: Alexandria via LeMat-Bulk
Functional: PBE-GGA
Structure: optimized geometry

Cell lengths 7.167, 7.167, 8.696 Å; angles 90.00, 90.00, 90.00 degrees
Space group I4/mmm (No. 139)
Symmetry-distinct sites (fractional):
La: 0.000 0.500 0.250 x4
Ce: 0.000 0.000 0.174 x4
Zn: 0.000 0.000 0.500 x2
Ge: 0.242 0.242 0.500 x8

- formation energy from the elements (eV per atom) = -0.38
- density of states at the Fermi level (states/eV/cell) = 22.5
- E (hartree per atom) = -0.1833

***

Compound: ErZrV
Source: Alexandria via LeMat-Bulk
Functional: PBE-GGA
Structure: optimized geometry

Cell lengths 3.198, 3.198, 26.619 Å; angles 90.00, 90.00, 90.00 degrees
Space group I4/mmm (No. 139)
Symmetry-distinct sites (fractional):
Er: 0.000 0.000 0.065 x4
Zr: 0.000 0.000 0.344 x4
V: 0.000 0.000 0.228 x4

- formation energy from the elements (eV per atom) = 0.19
- density of states at the Fermi level (states/eV/cell) = 18.9
- E (hartree per atom) = -0.2653

***

Compound: Tb2Er8Tm
Source: Alexandria via LeMat-Bulk
Functional: PBE-GGA
Structure: optimized geometry

Cell lengths 8.949, 16.129, 5.811 Å; angles 90.00, 124.95, 90.00 degrees
Space group C2/m (No. 12)
Symmetry-distinct sites (fractional):
Tb: 0.000 0.191 0.000 x4
Er: 0.000 0.295 0.500 x4
Er: 0.063 0.000 0.292 x4
Er: 0.218 0.380 0.187 x8
Tm: 0.000 0.500 0.500 x2

- formation energy from the elements (eV per atom) = 0.16
- density of states at the Fermi level (states/eV/cell) = 31.2
- E (hartree per atom) = -0.1618

***

Compound: Ce4NbO10
Source: Alexandria via LeMat-Bulk
Functional: PBE-GGA
Structure: optimized geometry

Cell lengths 3.8300, 3.8300, 46.3671 Å; angles 90.00, 90.00, 120.00 degrees
Space group R-3m (No. 166, hexagonal axes)
Symmetry-distinct sites (fractional):
Ce: 0.0000 0.0000 0.1027 x6
Ce: 0.0000 0.0000 0.2991 x6
Nb: 0.0000 0.0000 0.5000 x3
O: 0.0000 0.0000 0.0526 x6
O: 0.0000 0.0000 0.1573 x6
O: 0.0000 0.0000 0.2457 x6
O: 0.0000 0.0000 0.3506 x6
O: 0.0000 0.0000 0.4570 x6

- density of states at the Fermi level (states/eV/cell) = 37.2
- E (hartree per atom) = -0.3234

***

Compound: TiBe2Co
Source: Alexandria via LeMat-Bulk
Functional: PBE-GGA
Structure: optimized geometry

Cell lengths 2.761, 17.477, 3.670 Å; angles 90.00, 90.00, 90.00 degrees
Space group Cmcm (No. 63)
Symmetry-distinct sites (fractional):
Ti: 0.000 0.103 0.250 x4
Be: 0.000 0.260 0.750 x4
Be: 0.000 0.471 0.250 x4
Co: 0.000 0.343 0.250 x4

- formation energy from the elements (eV per atom) = -0.16
- density of states at the Fermi level (states/eV/cell) = 12.8
- ΔE to the lowest computed polymorph (meV/atom) = 97
- E (hartree per atom) = -0.2121

***

Compound: CdBRh3
Source: Alexandria via LeMat-Bulk
Functional: PBE-GGA
Structure: optimized geometry

Cell lengths 9.679, 5.681, 5.453 Å; angles 90.00, 108.73, 90.00 degrees
Space group C2/m (No. 12)
Symmetry-distinct sites (fractional):
Cd: 0.047 0.000 0.276 x4
B: 0.169 0.500 0.999 x4
Rh: 0.047 0.500 0.271 x4
Rh: 0.206 0.256 0.730 x8

- formation energy from the elements (eV per atom) = -0.19
- density of states at the Fermi level (states/eV/cell) = 15.3
- ΔE to the lowest computed polymorph (meV/atom) = 21
- E (hartree per atom) = -0.2249